Record 1
This record from Alexandria describes a geometry-optimized PS2NF structure. The functional is GGA-PBEsol.

## Properties
The uncorrected formation energy is 2.884 eV per formula unit. As for the electronic total energy: -4.43 eV per atom. For the density of states at the Fermi level, the calculation gives 5.16 states/eV/cell.

Cell lengths 4.595, 4.595, 3.162 Å; angles 90.00, 90.00, 90.00 degrees
Space group P4/mmm (No. 123)
Unique sites:
P 0.000 0.000 0.000 (multiplicity 1)
S 0.000 0.500 0.000 (multiplicity 2)
N 0.000 0.000 0.500 (multiplicity 1)
F 0.500 0.500 0.500 (multiplicity 1)



Record 2
This record from Alexandria describes a geometry-optimized PSN2F structure. The functional is GGA-PBEsol.

## Properties
The uncorrected formation energy is 11.173 eV per formula unit. As for the electronic total energy: -3.60 eV per atom. The calculation puts the polymorph energy (0 for the lowest one) at 1616 meV per atom. For the density of states at the Fermi level, the calculation gives 2.87 states/eV/cell.

Cell lengths 3.539, 3.539, 5.755 Å; angles 90.00, 90.00, 90.00 degrees
Space group P4/mmm (No. 123)
Unique sites:
P 0.000 0.000 0.000 (multiplicity 1)
S 0.500 0.500 0.000 (multiplicity 1)
N 0.000 0.500 0.500 (multiplicity 2)
F 0.500 0.500 0.500 (multiplicity 1)



Record 3
This record from Alexandria describes a geometry-optimized PSN2F structure. The functional is GGA-PBEsol.

## Properties
The uncorrected formation energy is 3.090 eV per formula unit. As for the electronic total energy: -5.21 eV per atom. The calculation puts the polymorph energy (0 for the lowest one) at 0 meV per atom. For the density of states at the Fermi level, the calculation gives 1.69 states/eV/cell.

Cell lengths 3.571, 3.571, 3.594 Å; angles 90.00, 90.00, 90.00 degrees
Space group P4/mmm (No. 123)
Unique sites:
P 0.000 0.000 0.000 (multiplicity 1)
S 0.500 0.500 0.500 (multiplicity 1)
N 0.000 0.500 0.000 (multiplicity 2)
F 0.000 0.000 0.500 (multiplicity 1)



Record 4
This record from Alexandria describes a geometry-optimized SbPNF2 structure. The functional is GGA-PBEsol.

## Properties
The uncorrected formation energy is -0.068 eV per formula unit. As for the electronic total energy: -4.56 eV per atom. For the density of states at the Fermi level, the calculation gives 1.48 states/eV/cell.

Cell lengths 4.228, 4.228, 4.326 Å; angles 90.00, 90.00, 90.00 degrees
Space group P4/mmm (No. 123)
Unique sites:
Sb 0.000 0.000 0.000 (multiplicity 1)
P 0.500 0.500 0.500 (multiplicity 1)
N 0.000 0.000 0.500 (multiplicity 1)
F 0.000 0.500 0.000 (multiplicity 2)



Record 5
This record from Alexandria describes a geometry-optimized ScPNF2 structure. The functional is GGA-PBEsol.

## Properties
The uncorrected formation energy is -6.370 eV per formula unit. As for the electronic total energy: -6.23 eV per atom. For the density of states at the Fermi level, the calculation gives 0.71 states/eV/cell.

Cell lengths 3.865, 3.865, 4.564 Å; angles 90.00, 90.00, 90.00 degrees
Space group P4/mmm (No. 123)
Unique sites:
Sc 0.000 0.000 0.000 (multiplicity 1)
P 0.500 0.500 0.500 (multiplicity 1)
N 0.000 0.000 0.500 (multiplicity 1)
F 0.000 0.500 0.000 (multiplicity 2)



Record 6
This record from Alexandria describes a geometry-optimized SnPN2F structure. The functional is GGA-PBEsol.

## Properties
The uncorrected formation energy is -0.032 eV per formula unit. As for the electronic total energy: -5.81 eV per atom. For the density of states at the Fermi level, the calculation gives 1.54 states/eV/cell.

Cell lengths 3.596, 3.596, 4.214 Å; angles 90.00, 90.00, 90.00 degrees
Space group P4/mmm (No. 123)
Unique sites:
Sn 0.000 0.000 0.000 (multiplicity 1)
P 0.500 0.500 0.500 (multiplicity 1)
N 0.000 0.500 0.500 (multiplicity 2)
F 0.500 0.500 0.000 (multiplicity 1)



Record 7
This record from Alexandria describes a geometry-optimized PWNF2 structure. The functional is GGA-PBEsol.

## Properties
The uncorrected formation energy is -1.090 eV per formula unit. As for the electronic total energy: -6.61 eV per atom. For the density of states at the Fermi level, the calculation gives 3.76 states/eV/cell.

Cell lengths 4.045, 4.045, 3.937 Å; angles 90.00, 90.00, 90.00 degrees
Space group P4/mmm (No. 123)
Unique sites:
P 0.000 0.000 0.000 (multiplicity 1)
W 0.500 0.500 0.500 (multiplicity 1)
N 0.500 0.500 0.000 (multiplicity 1)
F 0.000 0.500 0.500 (multiplicity 2)



Record 8
This record from Alexandria describes a geometry-optimized ZnPN2F structure. The functional is GGA-PBEsol.

## Properties
The uncorrected formation energy is 0.419 eV per formula unit. As for the electronic total energy: -5.19 eV per atom. For the density of states at the Fermi level, the calculation gives 1.23 states/eV/cell.

Cell lengths 3.485, 3.485, 3.756 Å; angles 90.00, 90.00, 90.00 degrees
Space group P4/mmm (No. 123)
Unique sites:
Zn 0.000 0.000 0.000 (multiplicity 1)
P 0.500 0.500 0.500 (multiplicity 1)
N 0.000 0.500 0.500 (multiplicity 2)
F 0.500 0.500 0.000 (multiplicity 1)



Record 9
This record from Alexandria describes a geometry-optimized ZrPN2F structure. The functional is GGA-PBEsol.

## Properties
The uncorrected formation energy is -1.916 eV per formula unit. As for the electronic total energy: -7.16 eV per atom. For the density of states at the Fermi level, the calculation gives 2.00 states/eV/cell.

Cell lengths 3.691, 3.691, 3.729 Å; angles 90.00, 90.00, 90.00 degrees
Space group P4/mmm (No. 123)
Unique sites:
Zr 0.000 0.000 0.000 (multiplicity 1)
P 0.500 0.500 0.500 (multiplicity 1)
N 0.000 0.500 0.500 (multiplicity 2)
F 0.500 0.500 0.000 (multiplicity 1)



Record 10
This record from Alexandria describes a geometry-optimized PbNF2 structure. The functional is GGA-PBEsol.

## Properties
The uncorrected formation energy is 1.993 eV per formula unit. As for the electronic total energy: -3.60 eV per atom. For the density of states at the Fermi level, the calculation gives 11.95 states/eV/cell.

Cell lengths 3.3476, 3.3476, 20.8794 Å; angles 90.00, 90.00, 120.00 degrees
Space group R-3m (No. 166, hexagonal axes)
Unique sites:
Pb 0.0000 0.0000 0.0000 (multiplicity 3)
N 0.0000 0.0000 0.5000 (multiplicity 3)
F 0.0000 0.0000 0.1064 (multiplicity 6)



Record 11
This record from Alexandria describes a geometry-optimized PdPbN2F structure. The functional is GGA-PBEsol.

## Properties
The uncorrected formation energy is 2.203 eV per formula unit. As for the electronic total energy: -5.35 eV per atom. For the density of states at the Fermi level, the calculation gives 2.92 states/eV/cell.

Cell lengths 3.787, 3.787, 5.061 Å; angles 90.00, 90.00, 90.00 degrees
Space group P4/mmm (No. 123)
Unique sites:
Pd 0.000 0.000 0.000 (multiplicity 1)
Pb 0.500 0.500 0.500 (multiplicity 1)
N 0.000 0.500 0.000 (multiplicity 2)
F 0.000 0.000 0.500 (multiplicity 1)



Record 12
This record from Alexandria describes a geometry-optimized RhPbNF2 structure. The functional is GGA-PBEsol.

## Properties
The uncorrected formation energy is -3.258 eV per formula unit. As for the electronic total energy: -5.56 eV per atom. For the density of states at the Fermi level, the calculation gives 2.67 states/eV/cell.

Cell lengths 4.405, 4.405, 3.681 Å; angles 90.00, 90.00, 90.00 degrees
Space group P4/mmm (No. 123)
Unique sites:
Rh 0.000 0.000 0.000 (multiplicity 1)
Pb 0.500 0.500 0.500 (multiplicity 1)
N 0.000 0.000 0.500 (multiplicity 1)
F 0.000 0.500 0.000 (multiplicity 2)



Record 13
This record from Alexandria describes a geometry-optimized PbS2NF structure. The functional is GGA-PBEsol.

## Properties
The uncorrected formation energy is 4.712 eV per formula unit. As for the electronic total energy: -3.70 eV per atom. For the density of states at the Fermi level, the calculation gives 1.97 states/eV/cell.

Cell lengths 4.229, 4.229, 4.849 Å; angles 90.00, 90.00, 90.00 degrees
Space group P4/mmm (No. 123)
Unique sites:
Pb 0.000 0.000 0.000 (multiplicity 1)
S 0.000 0.500 0.500 (multiplicity 2)
N 0.500 0.500 0.000 (multiplicity 1)
F 0.500 0.500 0.500 (multiplicity 1)



Record 14
This record from Alexandria describes a geometry-optimized Pb2SNF structure. The functional is GGA-PBEsol.

## Properties
The uncorrected formation energy is 3.067 eV per formula unit. As for the electronic total energy: -3.95 eV per atom. For the density of states at the Fermi level, the calculation gives 2.14 states/eV/cell.

Cell lengths 4.971, 4.971, 4.213 Å; angles 90.00, 90.00, 90.00 degrees
Space group P4/mmm (No. 123)
Unique sites:
Pb 0.000 0.500 0.000 (multiplicity 2)
S 0.000 0.000 0.500 (multiplicity 1)
N 0.500 0.500 0.500 (multiplicity 1)
F 0.000 0.000 0.000 (multiplicity 1)



Record 15
This record from Alexandria describes a geometry-optimized SnPbNF2 structure. The functional is GGA-PBEsol.

## Properties
The uncorrected formation energy is -4.481 eV per formula unit. As for the electronic total energy: -5.02 eV per atom. For the density of states at the Fermi level, the calculation gives 1.49 states/eV/cell.

Cell lengths 4.429, 4.429, 4.077 Å; angles 90.00, 90.00, 90.00 degrees
Space group P4/mmm (No. 123)
Unique sites:
Sn 0.000 0.000 0.000 (multiplicity 1)
Pb 0.500 0.500 0.500 (multiplicity 1)
N 0.000 0.000 0.500 (multiplicity 1)
F 0.000 0.500 0.000 (multiplicity 2)



Record 16
This record from Alexandria describes a geometry-optimized TcPbNF2 structure. The functional is GGA-PBEsol.

## Properties
The uncorrected formation energy is 1.979 eV per formula unit. As for the electronic total energy: -5.13 eV per atom. For the density of states at the Fermi level, the calculation gives 1.82 states/eV/cell.

Cell lengths 4.451, 4.451, 4.306 Å; angles 90.00, 90.00, 90.00 degrees
Space group P4/mmm (No. 123)
Unique sites:
Tc 0.000 0.000 0.000 (multiplicity 1)
Pb 0.500 0.500 0.500 (multiplicity 1)
N 0.500 0.500 0.000 (multiplicity 1)
F 0.000 0.500 0.500 (multiplicity 2)



Record 17
This record from Alexandria describes a geometry-optimized TePbN2F structure. The functional is GGA-PBEsol.

## Properties
The uncorrected formation energy is 7.591 eV per formula unit. As for the electronic total energy: -3.78 eV per atom. For the density of states at the Fermi level, the calculation gives 2.98 states/eV/cell.

Cell lengths 4.215, 4.215, 6.240 Å; angles 90.00, 90.00, 90.00 degrees
Space group P4/mmm (No. 123)
Unique sites:
Te 0.000 0.000 0.000 (multiplicity 1)
Pb 0.000 0.000 0.500 (multiplicity 1)
N 0.000 0.500 0.500 (multiplicity 2)
F 0.500 0.500 0.000 (multiplicity 1)



Record 18
This record from Alexandria describes a geometry-optimized PbWNF2 structure. The functional is GGA-PBEsol.

## Properties
The uncorrected formation energy is -3.888 eV per formula unit. As for the electronic total energy: -6.82 eV per atom. For the density of states at the Fermi level, the calculation gives 3.37 states/eV/cell.

Cell lengths 4.244, 4.244, 3.929 Å; angles 90.00, 90.00, 90.00 degrees
Space group P4/mmm (No. 123)
Unique sites:
Pb 0.000 0.000 0.000 (multiplicity 1)
W 0.500 0.500 0.500 (multiplicity 1)
N 0.500 0.500 0.000 (multiplicity 1)
F 0.000 0.500 0.500 (multiplicity 2)



Record 19
This record from Alexandria describes a geometry-optimized PdPtNF2 structure. The functional is GGA-PBEsol.

## Properties
The uncorrected formation energy is 1.157 eV per formula unit. As for the electronic total energy: -4.83 eV per atom. For the density of states at the Fermi level, the calculation gives 7.70 states/eV/cell.

Cell lengths 4.300, 4.300, 3.671 Å; angles 90.00, 90.00, 90.00 degrees
Space group P4/mmm (No. 123)
Unique sites:
Pd 0.000 0.000 0.000 (multiplicity 1)
Pt 0.500 0.500 0.500 (multiplicity 1)
N 0.500 0.500 0.000 (multiplicity 1)
F 0.000 0.500 0.500 (multiplicity 2)



Record 20
This record from Alexandria describes a geometry-optimized PdS2NF structure. The functional is GGA-PBEsol.

## Properties
The uncorrected formation energy is 4.823 eV per formula unit. As for the electronic total energy: -4.07 eV per atom. For the density of states at the Fermi level, the calculation gives 3.78 states/eV/cell.

Cell lengths 4.856, 4.856, 3.612 Å; angles 90.00, 90.00, 90.00 degrees
Space group P4/mmm (No. 123)
Unique sites:
Pd 0.000 0.000 0.000 (multiplicity 1)
S 0.000 0.500 0.000 (multiplicity 2)
N 0.000 0.000 0.500 (multiplicity 1)
F 0.500 0.500 0.500 (multiplicity 1)